First-principles (GGA+U) data for a relaxed LiMnN2O crystal, as listed in Alexandria.

Lattice parameters (Å, degrees): 3.5710 3.5710 3.8335 90.00 90.00 90.00
Space group P4/mmm (No. 123)
Unique sites:
Li (0.0000, 0.0000, 0.0000)
Mn (0.5000, 0.5000, 0.5000)
N (0.0000, 0.5000, 0.0000)
O (0.0000, 0.0000, 0.5000)

Calculated values
Electronic total energy ... -5.172 eV per atom
Spin magnetization ... 0.383 μB per atom
DOS(E_F) ... 0.4937 states/eV per atom